[1]
DySnCl5 after structural relaxation, computed with PBE.

## Properties
E_form (uncorrected) = -1682 meV per atom
Crystal system = monoclinic
Total magnetic moment = 0.00 μB per formula unit

Geometry as POSCAR:
```
DySnCl5
1.0
-1.4770 7.0448 -0.5206
-5.2589 -1.4339 -4.7296
-3.0024 -3.2953 9.3358
Cl Sn Dy
10 2 2
Cartesian
-6.2878 3.9866 -3.2075
-5.5264 1.7783 7.4361
-7.2577 1.8398 3.1154
-5.5705 2.2142 -0.2817
-4.1677 0.1014 4.3673
-4.2118 0.5373 -3.3505
-3.4505 -1.6710 7.2932
-2.4805 0.4758 0.9702
-3.9887 3.5077 2.8088
-5.7495 -1.1921 1.2768
-5.1831 4.7729 -0.9143
-4.5551 -2.4573 5.0000
-4.8691 1.1578 2.0428
0.0000 0.0000 0.0000
```

[2]
Dy2SnCl after structural relaxation, computed with PBE.

## Properties
E_form (uncorrected) = -579 meV per atom
Crystal system = trigonal
Total magnetic moment = 0.00 μB per formula unit

Geometry as POSCAR:
```
Dy2SnCl
1.0
-0.3594 1.5820 3.0801
-2.8904 1.8093 0.7007
-5.5548 -7.5346 5.1892
Cl Dy Sn
1 2 1
Cartesian
-4.4023 -2.0716 4.4850
-4.5521 0.8676 4.9251
-4.2524 -5.0108 4.0449
0.0000 0.0000 0.0000
```

[3]
DyTlSn2Cl8 after structural relaxation, computed with PBE.

## Properties
E_form (uncorrected) = -1425 meV per atom
Crystal system = triclinic
Total magnetic moment = 0.00 μB per formula unit

Geometry as POSCAR:
```
DyTlSn2Cl8
1.0
-1.1603 -4.3199 -5.2450
6.2738 -1.5537 -0.3917
-1.1627 -7.0953 5.4125
Sn Cl Tl Dy
2 8 1 1
Cartesian
1.6602 -8.1862 1.3274
2.2906 -4.7827 -1.5515
0.0213 -8.5515 3.4908
3.2395 -7.1307 -1.1305
0.3287 -5.6190 -3.4587
4.4730 -3.4729 -0.1193
3.6221 -7.3499 3.2345
3.9295 -4.4175 -3.7149
-0.5222 -9.4961 -0.1049
0.7113 -5.8383 0.9063
-0.5814 -3.5476 2.7063
0.0000 0.0000 0.0000
```